Entry from Alexandria via LeMat-Bulk: Ho4GeCl5 after structural relaxation (PBE).

a = 3.9376 Å, b = 8.0778 Å, c = 8.9302 Å
α = 102.42°, β = 102.74°, γ = 90.00°
Last column: nearest neighbours and their distance in Å.
Atoms (fractional coordinates):
1 Cl 0.1666 0.3230 0.3333  3 Ho 2.73-2.82
2 Ho 0.9991 0.7672 0.9983  2 Ge 2.72, 4 Cl 2.82-2.96
3 Cl 0.8269 0.1509 0.6538  4 Ho 2.80-2.96
4 Ge 0.5000 0.0000 0.0000  6 Ho 2.66-2.72
5 Ho 0.3435 0.9152 0.6869  1 Ge 2.66, 5 Cl 2.73-2.90
6 Cl 0.1731 0.8491 0.3462  4 Ho 2.80-2.96
7 Ho 0.6565 0.0848 0.3131  1 Ge 2.66, 5 Cl 2.73-2.90
8 Cl 0.5000 0.5000 0.0000  4 Ho 2.92
9 Cl 0.8334 0.6770 0.6667  3 Ho 2.73-2.82
10 Ho 0.0009 0.2328 0.0017  2 Ge 2.72, 4 Cl 2.82-2.96

Results
For the calculated total energy, the calculation gives -48.817 eV for the cell shown. Its space group is C2/m. Its magnetic moment is 0.000 μB/atom. As for the calculated volume: 27.02 Å³/atom.

=====

Entry from Alexandria via LeMat-Bulk: V3CdCu after structural relaxation (PBE).

a = 4.9766 Å, b = 4.9766 Å, c = 4.9766 Å
α = 90.00°, β = 90.00°, γ = 90.00°
Last column: nearest neighbours and their distance in Å.
Atoms (fractional coordinates):
1 V 0.5000 0.0000 0.0000  2 Cd 2.49
2 Cu 0.5000 0.5000 0.5000  12 V 3.52
3 Cd 0.0000 0.0000 0.0000  6 V 2.49
4 V 0.0000 0.5000 0.0000  2 Cd 2.49
5 V 0.0000 0.0000 0.5000  2 Cd 2.49

Results
Its energy of formation is 1975.9 meV per atom. Its space group is Pm-3m. The energy above the most stable polymorph in this dataset comes out at 888 meV/atom. Its magnetic moment is 1.860 μB/atom. As for the calculated volume: 24.65 Å³/atom.